Density functional theory data (PBE-GGA) for a geometry-optimized HfBeGe structure. Values from VASP.

Quantum ESPRESSO input file:
```
&SYSTEM
  ibrav = 0, nat = 3, ntyp = 3
/
ATOMIC_SPECIES
Hf 178.49 Hf.upf
Ge 72.64 Ge.upf
Be 9.01 Be.upf
CELL_PARAMETERS angstrom
-1.1719 -3.7333 1.0350
-3.3234 -1.6102 -1.6567
0.3305 -3.0346 -2.6578
ATOMIC_POSITIONS crystal
Hf 0.7500 0.7500 0.7500
Ge 0.2500 0.2500 0.2500
Be 0.0000 0.0000 0.0000
```

Values from the calculation:
space-group type = No. 216
total energy = -6.124 eV/atom

---

Density functional theory data (PBE-GGA) for a geometry-optimized Er2TmAl3NiAg2 structure. Values from VASP.

Quantum ESPRESSO input file:
```
&SYSTEM
  ibrav = 0, nat = 9, ntyp = 5
/
ATOMIC_SPECIES
Al 26.98 Al.upf
Tm 168.93 Tm.upf
Er 167.26 Er.upf
Ni 58.69 Ni.upf
Ag 107.87 Ag.upf
CELL_PARAMETERS angstrom
-0.9539 1.8155 -3.5594
0.5015 -6.2566 -3.3256
-6.2230 2.0739 2.7256
ATOMIC_POSITIONS crystal
Al 0.5000 0.7756 0.0000
Al 0.5000 0.0000 0.7756
Al 0.5000 0.2238 0.2238
Tm 0.0000 0.6030 0.6030
Er 0.0000 0.0001 0.3982
Er 0.0000 0.3982 0.0001
Ni 0.0000 0.9988 0.9988
Ag 0.5000 0.3342 0.6662
Ag 0.5000 0.6662 0.3342
```

Values from the calculation:
space-group type = No. 38
total energy = -4.507 eV/atom

---

Density functional theory data (PBE-GGA) for a geometry-optimized YCoTcGe structure. Values from VASP.

Quantum ESPRESSO input file:
```
&SYSTEM
  ibrav = 0, nat = 4, ntyp = 4
/
ATOMIC_SPECIES
Co 58.93 Co.upf
Ge 72.64 Ge.upf
Tc 98.00 Tc.upf
Y 88.91 Y.upf
CELL_PARAMETERS angstrom
4.0256 -1.2617 -1.5701
2.4673 -2.9956 2.2806
0.5765 -4.1534 -1.6369
ATOMIC_POSITIONS crystal
Co 0.7500 0.7500 0.7500
Ge 0.0000 0.0000 0.0000
Tc 0.2500 0.2500 0.2500
Y 0.5000 0.5000 0.5000
```

Values from the calculation:
space-group type = No. 216
total energy = -7.152 eV/atom
E above lowest polymorph = 0 meV per atom

---

Density functional theory data (PBE-GGA) for a geometry-optimized Nd4GeI5 structure. Values from VASP.

Quantum ESPRESSO input file:
```
&SYSTEM
  ibrav = 0, nat = 10, ntyp = 3
/
ATOMIC_SPECIES
I 126.90 I.upf
Nd 144.24 Nd.upf
Ge 72.64 Ge.upf
CELL_PARAMETERS angstrom
0.6186 7.7466 6.3788
-3.3146 6.1487 7.2310
3.7816 -6.7586 4.7810
ATOMIC_POSITIONS crystal
I 0.8335 0.8335 0.6638
I 0.5000 0.5000 0.5000
I 0.1711 0.1711 0.8251
I 0.1665 0.1665 0.3362
I 0.8289 0.8289 0.1749
Nd 0.6486 0.6486 0.0737
Nd 0.0002 0.0002 0.7844
Nd 0.3514 0.3514 0.9263
Nd 0.9998 0.9998 0.2156
Ge 0.5000 0.5000 0.0000
```

Values from the calculation:
space-group type = No. 12
total energy = -4.404 eV/atom